Entry 1:
## CuGe2AsBr (GGA-PBE)

Data for CuGe2AsBr after structural relaxation.

a b c (Å): 5.3162 4.4518 5.3162
angles (deg): 90.00 90.00 90.00
Closest atoms and distances in Å follow each position.
Fractional positions:
As1 0.0000 0.0000 0.0000  2 Cu 2.23
Ge1 0.0000 0.0000 0.5000  2 As 2.66
Ge2 0.5000 0.0000 0.0000  2 As 2.66
Br1 0.5000 0.5000 0.5000  8 Ge 3.47, 4 Cu 3.76
Cu1 0.0000 0.5000 0.0000  2 As 2.23

Properties
* symmetry: P4/mmm
* calculated total energy: -17.5 eV/f.u.
* density: 4.8 g/cm³
* uncorrected formation energy: 0.437 eV per atom
* size of the total moment: 0.00 μB per atom

=====

Entry 2:
## Ca2MnGe3Pt4 (GGA-PBE)

Data for Ca2MnGe3Pt4 after structural relaxation.

a b c (Å): 4.1536 4.1536 10.9805
angles (deg): 90.00 90.00 90.00
Closest atoms and distances in Å follow each position.
Fractional positions:
Pt1 0.5000 0.0000 0.6416  3 Ge 2.45-2.59, 2 Mn 2.59
Pt2 0.0000 0.0000 0.0000  4 Ge 2.55
Pt3 0.0000 0.5000 0.3584  3 Ge 2.45-2.59, 2 Mn 2.59
Pt4 0.5000 0.5000 0.0000  4 Ge 2.55
Ge1 0.5000 0.0000 0.8647  5 Pt 2.45-2.55
Ge2 0.0000 0.5000 0.1353  5 Pt 2.45-2.55
Ge3 0.0000 0.0000 0.5000  4 Pt 2.59
Ca1 0.5000 0.0000 0.2493  8 Pt 3.17-3.44, 6 Ge 3.19-3.45, 2 Mn 3.45
Ca2 0.0000 0.5000 0.7507  8 Pt 3.17-3.44, 6 Ge 3.19-3.45, 2 Mn 3.45
Mn1 0.5000 0.5000 0.5000  4 Pt 2.59

Properties
* symmetry: P-4m2
* formation energy: -736 meV per atom
* calculated total energy: -58.5 eV/f.u.
* density: 9.9 g/cm³
* size of the total moment: 0.38 μB per atom

=====

Entry 3:
## Cs3Sm2SnS6 (GGA-PBE)

Data for Cs3Sm2SnS6 after structural relaxation.

a b c (Å): 7.2417 7.2417 8.4034
angles (deg): 98.25 98.25 120.00
Closest atoms and distances in Å follow each position.
Fractional positions:
Cs1 0.5000 0.5000 0.5000  6 S 3.50-3.53
Cs2 0.8332 0.1668 0.5000  6 S 3.50-3.53
Cs3 0.1668 0.8332 0.5000  6 S 3.50-3.53
Sm1 0.3333 0.6667 0.0000  6 S 2.84
Sm2 0.6667 0.3333 0.0000  6 S 2.84
S1 0.6095 0.9389 0.8167  1 Sn 2.80, 2 Sm 2.84
S2 0.9389 0.6095 0.8167  1 Sn 2.80, 2 Sm 2.84
S3 0.3905 0.0611 0.1833  1 Sn 2.80, 2 Sm 2.84
S4 0.0611 0.3905 0.1833  1 Sn 2.80, 2 Sm 2.84
S5 0.2681 0.2681 0.8162  1 Sn 2.81, 2 Sm 2.84
S6 0.7319 0.7319 0.1838  1 Sn 2.81, 2 Sm 2.84
Sn1 0.0000 0.0000 0.0000  6 S 2.80-2.81

Properties
* symmetry: C2/m
* calculated total energy: -57.8 eV/f.u.
* density: 4.6 g/cm³
* uncorrected formation energy: -1.423 eV per atom
* size of the total moment: 0.00 μB per atom

=====

Entry 4:
## Be3GeC (GGA-PBE)

Data for Be3GeC after structural relaxation.

a b c (Å): 4.1722 4.1722 4.1722
angles (deg): 90.00 90.00 90.00
Closest atoms and distances in Å follow each position.
Fractional positions:
C1 0.5000 0.5000 0.5000  12 Be 2.95
Be1 0.5000 0.0000 0.0000  2 Ge 2.09
Be2 0.0000 0.0000 0.5000  2 Ge 2.09
Be3 0.0000 0.5000 0.0000  2 Ge 2.09
Ge1 0.0000 0.0000 0.0000  6 Be 2.09

Properties
* symmetry: Pm-3m
* formation energy: 1919 meV per atom
* calculated total energy: -15.4 eV/f.u.
* density: 2.6 g/cm³
* energy relative to the lowest polymorph listed for this composition: 1499.5 meV per atom
* size of the total moment: 0.33 μB per atom

=====

Entry 5:
## KOsSeN2 (GGA-PBE)

Data for KOsSeN2 after structural relaxation.

a b c (Å): 3.9438 3.9438 5.3770
angles (deg): 90.00 90.00 90.00
Closest atoms and distances in Å follow each position.
Fractional positions:
Se1 0.0000 0.0000 0.5000  2 Os 2.69, 4 K 2.79
K1 0.5000 0.5000 0.5000  4 Se 2.79
N1 0.5000 0.0000 0.0000  2 Os 1.97
N2 0.0000 0.5000 0.0000  2 Os 1.97
Os1 0.0000 0.0000 0.0000  4 N 1.97

Properties
* symmetry: P4/mmm
* calculated total energy: -30.1 eV/f.u.
* density: 6.7 g/cm³
* uncorrected formation energy: 0.469 eV per atom
* energy relative to the lowest polymorph listed for this composition: 0.0 meV per atom
* size of the total moment: 0.00 μB per atom

=====

Entry 6:
## Sr2NCl (GGA-PBE)

Data for Sr2NCl after structural relaxation.

a b c (Å): 7.0088 7.0088 6.6970
angles (deg): 58.45 58.45 90.00
Closest atoms and distances in Å follow each position.
Fractional positions:
Sr1 0.5547 0.1250 0.2500  2 N 2.43
Sr2 0.8750 0.8047 0.7500  2 N 2.43
Sr3 0.1953 0.6250 0.2500  2 N 2.43
Sr4 0.3750 0.4453 0.7500  2 N 2.43
Cl1 0.0000 0.0000 0.0000  4 Sr 3.06
Cl2 0.7500 0.2500 0.5000  4 Sr 3.06
N1 0.2500 0.7500 0.5000  4 Sr 2.43
N2 0.5000 0.5000 0.0000  4 Sr 2.43

Properties
* symmetry: I-42d
* calculated total energy: -18.6 eV/f.u.
* density: 3.4 g/cm³
* uncorrected formation energy: -1.256 eV per atom
* size of the total moment: 0.00 μB per atom

=====

Entry 7:
## Pm4MgAl2Ga (GGA-PBE)

Data for Pm4MgAl2Ga after structural relaxation.

a b c (Å): 5.2813 5.2813 9.1355
angles (deg): 73.20 73.20 60.00
Closest atoms and distances in Å follow each position.
Fractional positions:
Al1 0.7435 0.7435 0.7694  8 Pm 3.14-3.34
Al2 0.2565 0.2565 0.2306  8 Pm 3.14-3.34
Pm1 0.3804 0.3804 0.8587  1 Ga 3.09, 4 Al 3.14-3.20, 3 Mg 3.28
Pm2 0.6196 0.6196 0.1413  1 Ga 3.09, 4 Al 3.14-3.20, 3 Mg 3.28
Pm3 0.1296 0.1296 0.6113  3 Ga 3.20, 4 Al 3.28-3.34, 1 Mg 3.35
Pm4 0.8704 0.8704 0.3887  3 Ga 3.20, 4 Al 3.28-3.34, 1 Mg 3.35
Mg1 0.0000 0.0000 0.0000  8 Pm 3.28-3.35, 6 Al 3.64
Ga1 0.5000 0.5000 0.5000  8 Pm 3.09-3.20

Properties
* symmetry: R-3m
* formation energy: -371 meV per atom
* calculated total energy: -34.1 eV/f.u.
* density: 5.8 g/cm³
* size of the total moment: 0.00 μB per atom

=====

Entry 8:
## Cs5Ba3Hg12 (GGA-PBE)

Data for Cs5Ba3Hg12 after structural relaxation.

a b c (Å): 18.1574 18.1574 18.1574
angles (deg): 109.47 109.47 109.47
Closest atoms and distances in Å follow each position.
Fractional positions:
Hg1 0.9329 0.8677 0.6014  1 Hg 2.98
Hg2 0.4329 0.3315 0.5652  1 Hg 2.98
Hg3 0.1685 0.4348 0.0671  1 Hg 2.98
Hg4 0.4329 0.1014 0.3677  1 Hg 2.98
Hg5 0.8986 0.3315 0.2663  1 Hg 2.98
Hg6 0.5671 0.6685 0.4348  1 Hg 2.98
Hg7 0.3986 0.7663 0.8315  1 Hg 2.98
Hg8 0.5671 0.8986 0.6323  1 Hg 2.98
Hg9 0.6685 0.1014 0.2337  1 Hg 2.98
Hg10 0.0671 0.1323 0.3986  1 Hg 2.98
Hg11 0.1323 0.0652 0.7337  1 Hg 2.98
Hg12 0.3315 0.8986 0.7663  1 Hg 2.98
Hg13 0.3677 0.7663 0.4348  1 Hg 2.98
Hg14 0.3986 0.6323 0.0671  1 Hg 2.98
Hg15 0.5652 0.7337 0.6323  1 Hg 2.98
Hg16 0.7337 0.1685 0.1014  1 Hg 2.98
Hg17 0.1685 0.7337 0.6014  1 Hg 2.98
Hg18 0.2337 0.6323 0.0652  1 Hg 2.98
Hg19 0.0671 0.9348 0.1685  1 Hg 2.98
Hg20 0.7663 0.3986 0.3315  1 Hg 2.98
Hg21 0.3315 0.4329 0.0652  1 Hg 2.98
Hg22 0.6323 0.3986 0.5671  1 Hg 2.98
Hg23 0.4348 0.2663 0.3677  1 Hg 2.98
Hg24 0.8986 0.5671 0.1323  1 Hg 2.98
Hg25 0.6014 0.2337 0.1685  1 Hg 2.98
Hg26 0.7663 0.3677 0.9348  1 Hg 2.98
Hg27 0.8677 0.9329 0.1014  1 Hg 2.98
Hg28 0.1323 0.0671 0.8986  1 Hg 2.98
Hg29 0.9348 0.0671 0.6685  1 Hg 2.98
Hg30 0.6685 0.5671 0.9348  1 Hg 2.98
Hg31 0.0652 0.1323 0.2337  1 Hg 2.98
Hg32 0.1014 0.6685 0.7337  1 Hg 2.98
Hg33 0.2663 0.8315 0.8986  1 Hg 2.98
Hg34 0.9329 0.0652 0.8315  1 Hg 2.98
Hg35 0.6014 0.3677 0.9329  1 Hg 2.98
Hg36 0.6323 0.2337 0.5652  1 Hg 2.98
Hg37 0.4348 0.1685 0.5671  1 Hg 2.98
Hg38 0.5652 0.8315 0.4329  1 Hg 2.98
Hg39 0.2663 0.4348 0.8677  1 Hg 2.98
Hg40 0.8315 0.5652 0.9329  1 Hg 2.98
Hg41 0.9348 0.8677 0.7663  1 Hg 2.98
Hg42 0.2337 0.6014 0.6685  1 Hg 2.98
Hg43 0.7337 0.5652 0.1323  1 Hg 2.98
Hg44 0.1014 0.4329 0.8677  1 Hg 2.98
Hg45 0.3677 0.6014 0.4329  1 Hg 2.98
Hg46 0.0652 0.9329 0.3315  1 Hg 2.98
Hg47 0.8677 0.9348 0.2663  1 Hg 2.98
Hg48 0.8315 0.2663 0.3986  1 Hg 2.98
Cs1 0.0000 0.5000 0.0000  6 Hg 3.62
Cs2 0.1250 0.3750 0.2500  4 Hg 4.05
Cs3 0.8750 0.2500 0.6250  4 Hg 4.05
Cs4 0.5000 0.0000 0.0000  6 Hg 3.62
Cs5 0.3750 0.2500 0.1250  4 Hg 4.05
Cs6 0.2500 0.3750 0.6250  4 Hg 4.05
Cs7 0.7500 0.1250 0.8750  4 Hg 4.05
Cs8 0.5000 0.5000 0.0000  6 Hg 3.62
Cs9 0.0000 0.5000 0.5000  6 Hg 3.62
Cs10 0.7500 0.6250 0.3750  4 Hg 4.05
Cs11 0.3750 0.1250 0.7500  4 Hg 4.05
Cs12 0.0000 0.0000 0.0000  6 Hg 3.62
Cs13 0.6250 0.8750 0.2500  4 Hg 4.05
Cs14 0.2500 0.8750 0.1250  4 Hg 4.05
Cs15 0.1250 0.7500 0.3750  4 Hg 4.05
Cs16 0.5000 0.5000 0.5000  6 Hg 3.62
Cs17 0.0000 0.0000 0.5000  6 Hg 3.62
Cs18 0.5000 0.0000 0.5000  6 Hg 3.62
Cs19 0.8750 0.6250 0.7500  4 Hg 4.05
Cs20 0.6250 0.7500 0.8750  4 Hg 4.05
Ba1 0.6250 0.2500 0.3750  8 Hg 3.53-3.56
Ba2 0.3750 0.6250 0.2500  8 Hg 3.53-3.56
Ba3 0.2500 0.6250 0.8750  8 Hg 3.53-3.56
Ba4 0.2500 0.1250 0.3750  8 Hg 3.53-3.56
Ba5 0.1250 0.8750 0.7500  8 Hg 3.53-3.56
Ba6 0.3750 0.7500 0.6250  8 Hg 3.53-3.56
Ba7 0.1250 0.2500 0.8750  8 Hg 3.53-3.56
Ba8 0.8750 0.7500 0.1250  8 Hg 3.53-3.56
Ba9 0.6250 0.3750 0.7500  8 Hg 3.53-3.56
Ba10 0.7500 0.3750 0.1250  8 Hg 3.53-3.56
Ba11 0.7500 0.8750 0.6250  8 Hg 3.53-3.56
Ba12 0.8750 0.1250 0.2500  8 Hg 3.53-3.56

Properties
* symmetry: Ia-3d
* formation energy: -227 meV per atom
* calculated total energy: -18.2 eV/f.u.
* density: 5.0 g/cm³
* size of the total moment: 0.00 μB per atom

=====

Entry 9:
## Pa2GeOsRh (GGA-PBE)

Data for Pa2GeOsRh after structural relaxation.

a b c (Å): 3.8438 7.6952 7.6846
angles (deg): 112.70 90.00 90.00
Closest atoms and distances in Å follow each position.
Fractional positions:
Rh1 0.2500 0.8795 0.8746  1 Ge 2.51, 2 Pa 2.76
Rh2 0.7500 0.1205 0.1254  1 Ge 2.51, 2 Pa 2.76
Os1 0.2500 0.7253 0.3204  2 Ge 2.67, 4 Pa 2.78-2.81
Os2 0.7500 0.2747 0.6796  2 Ge 2.67, 4 Pa 2.78-2.81
Ge1 0.2500 0.5269 0.7125  1 Rh 2.51, 2 Os 2.67
Ge2 0.7500 0.4731 0.2875  1 Rh 2.51, 2 Os 2.67
Pa1 0.2500 0.2819 0.9434  2 Os 2.78, 3 Rh 2.92-2.93, 1 Ge 3.05
Pa2 0.2500 0.1439 0.3911  2 Rh 2.76, 3 Os 2.81-3.05, 1 Ge 3.03
Pa3 0.7500 0.8561 0.6089  2 Rh 2.76, 3 Os 2.81-3.05, 1 Ge 3.03
Pa4 0.7500 0.7181 0.0566  2 Os 2.78, 3 Rh 2.92-2.93, 1 Ge 3.05

Properties
* symmetry: P2_1/m
* formation energy: -553 meV per atom
* calculated total energy: -45.0 eV/f.u.
* density: 13.1 g/cm³
* size of the total moment: 0.00 μB per atom

=====

Entry 10:
## Sc2Al6Ga (GGA-PBE)

Data for Sc2Al6Ga after structural relaxation.

a b c (Å): 4.0036 6.5855 6.7447
angles (deg): 108.49 107.27 90.00
Closest atoms and distances in Å follow each position.
Fractional positions:
Sc1 0.0528 0.8128 0.1057  2 Ga 2.79, 9 Al 2.93-3.01
Sc2 0.9472 0.1872 0.8943  2 Ga 2.79, 9 Al 2.93-3.01
Al1 0.2747 0.1550 0.5494  8 Al 2.78-3.00, 3 Sc 2.95-2.99, 1 Ga 3.03
Al2 0.3819 0.8312 0.7638  7 Al 2.85-3.12, 4 Sc 2.98-3.01, 1 Ga 3.05
Al3 0.1718 0.5026 0.3436  8 Al 2.85-3.00, 2 Sc 2.93-2.95, 2 Ga 2.98
Al4 0.7253 0.8450 0.4506  8 Al 2.78-3.00, 3 Sc 2.95-2.99, 1 Ga 3.03
Al5 0.6181 0.1688 0.2362  7 Al 2.85-3.12, 4 Sc 2.98-3.01, 1 Ga 3.05
Al6 0.8282 0.4974 0.6564  8 Al 2.85-3.00, 2 Sc 2.93-2.95, 2 Ga 2.98
Ga1 0.5000 0.5000 0.0000  4 Sc 2.79, 8 Al 2.98-3.05

Properties
* symmetry: C2/m
* formation energy: -270 meV per atom
* calculated total energy: -40.6 eV/f.u.
* density: 3.3 g/cm³
* size of the total moment: 0.00 μB per atom